one.
4
Lattice="4.532 -1.565 0.000 4.532 1.565 0.000 -1.226 0.000 5.486" Properties=species:S:1:pos:R:3 comment="ReOsPb2 | the Alexandria database | GGA-PBE | optimized geometry" space_group="No. 12" volume_a3_per_fu=78 magnetic_moment_mub_per_fu=0.21 pbc="T T T"
Re 0.000 0.000 0.000
Os 3.919 0.000 2.743
Pb 1.334 0.000 4.103
Pb 6.504 0.000 1.383

=====

two.
4
Lattice="3.228 0.000 0.000 0.000 4.539 0.000 0.000 0.000 5.440" Properties=species:S:1:pos:R:3 comment="ReOsPb2 | the Alexandria database | GGA-PBE | optimized geometry" space_group="No. 47" volume_a3_per_fu=80 magnetic_moment_mub_per_fu=0.00 pbc="T T T"
Re 0.000 0.000 0.000
Os 1.614 0.000 2.720
Pb 0.000 2.269 2.720
Pb 1.614 2.269 0.000

=====

Energetically preferred structure: one | next structure: +91 meV/atom

=====

one.
4
Lattice="-1.520 2.480 5.750 1.520 -2.480 5.750 1.520 2.480 -5.750" Properties=species:S:1:pos:R:3 comment="ReOsPb2 | the Alexandria database | GGA-PBE | optimized geometry" space_group="No. 44" volume_a3_per_fu=87 magnetic_moment_mub_per_fu=0.00 pbc="T T T"
Re 0.000 0.000 0.000
Os 1.520 0.000 1.954
Pb 0.000 0.000 4.870
Pb 0.000 2.480 2.697

=====

two.
4
Lattice="4.149 -1.574 0.000 4.149 1.574 0.000 -1.092 0.000 7.462" Properties=species:S:1:pos:R:3 comment="ReOsPb2 | the Alexandria database | GGA-PBE | optimized geometry" space_group="No. 8" volume_a3_per_fu=97 magnetic_moment_mub_per_fu=0.00 pbc="T T T"
Re 0.000 0.000 0.000
Os 5.952 0.000 0.737
Pb 1.333 0.000 5.543
Pb 3.542 0.000 2.642

=====

Energetically preferred structure: two | next structure: +332 meV/atom

=====

one.
4
Lattice="1.631 -2.699 0.000 1.631 2.699 0.000 0.000 0.000 9.040" Properties=species:S:1:pos:R:3 comment="ReOsPb2 | the Alexandria database | GGA-PBE | optimized geometry" space_group="No. 65" volume_a3_per_fu=80 magnetic_moment_mub_per_fu=0.00 pbc="T T T"
Re 0.000 0.000 0.000
Os 0.000 0.000 4.520
Pb 1.631 0.000 2.283
Pb 1.631 0.000 6.757

=====

two.
4
Lattice="0.000 3.410 3.410 3.410 0.000 3.410 3.410 3.410 0.000" Properties=species:S:1:pos:R:3 comment="ReOsPb2 | the Alexandria database | GGA-PBE | optimized geometry" space_group="No. 216" volume_a3_per_fu=79 magnetic_moment_mub_per_fu=0.37 pbc="T T T"
Re 0.000 0.000 0.000
Os 1.705 1.705 1.705
Pb 3.410 3.410 3.410
Pb 5.115 5.115 5.115

=====

three.
4
Lattice="0.000 3.360 3.360 3.360 0.000 3.360 3.360 3.360 0.000" Properties=species:S:1:pos:R:3 comment="ReOsPb2 | the Alexandria database | GGA-PBE | optimized geometry" space_group="No. 225" volume_a3_per_fu=76 magnetic_moment_mub_per_fu=0.00 pbc="T T T"
Re 0.000 0.000 0.000
Os 3.360 3.360 3.360
Pb 1.680 1.680 1.680
Pb 5.040 5.040 5.040

=====

Energetically preferred structure: three | next structure: +88 meV/atom

=====

one.
4
Lattice="-1.626 2.707 4.525 1.626 -2.707 4.525 1.626 2.707 -4.525" Properties=species:S:1:pos:R:3 comment="ReOsPb2 | the Alexandria database | GGA-PBE | optimized geometry" space_group="No. 71" volume_a3_per_fu=80 magnetic_moment_mub_per_fu=0.00 pbc="T T T"
Re 0.000 0.000 0.000
Os 0.000 0.000 4.525
Pb 1.626 0.000 2.290
Pb 0.000 2.707 2.235

=====

two.
4
Lattice="3.036 0.000 0.000 0.000 3.049 0.000 0.000 0.000 9.613" Properties=species:S:1:pos:R:3 comment="ReOsPb2 | the Alexandria database | GGA-PBE | optimized geometry" space_group="No. 25" volume_a3_per_fu=89 magnetic_moment_mub_per_fu=0.00 pbc="T T T"
Re 0.000 0.000 0.000
Os 1.518 1.525 8.144
Pb 0.000 0.000 5.881
Pb 1.518 1.525 2.310

=====

Energetically preferred structure: two | next structure: +904 meV/atom

=====

one.
4
Lattice="4.755 0.000 0.000 0.000 4.755 0.000 0.000 0.000 3.352" Properties=species:S:1:pos:R:3 comment="ReOsPb2 | the Alexandria database | GGA-PBE | optimized geometry" space_group="No. 123" volume_a3_per_fu=76 magnetic_moment_mub_per_fu=0.00 pbc="T T T"
Re 0.000 0.000 0.000
Os 2.377 2.377 0.000
Pb 0.000 2.377 1.676
Pb 2.377 0.000 1.676

=====

two.
4
Lattice="1.585 0.915 8.919 -1.585 0.915 8.919 0.000 -1.831 8.919" Properties=species:S:1:pos:R:3 comment="ReOsPb2 | the Alexandria database | GGA-PBE | optimized geometry" space_group="No. 166" volume_a3_per_fu=78 magnetic_moment_mub_per_fu=0.00 pbc="T T T"
Re 0.000 0.000 0.000
Os 0.000 0.000 13.378
Pb 0.000 0.000 6.651
Pb 0.000 0.000 20.105

=====

Energetically preferred structure: one | next structure: +62 meV/atom

=====

one.
5
Lattice="4.804 0.000 0.000 0.000 4.804 0.000 0.000 0.000 4.804" Properties=species:S:1:pos:R:3 comment="ReOs3Pb | the Alexandria database | GGA-PBE | optimized geometry" space_group="No. 221" volume_a3_per_fu=111 magnetic_moment_mub_per_fu=0.00 pbc="T T T"
Re 0.000 0.000 0.000
Os 0.000 2.402 2.402
Os 2.402 0.000 2.402
Os 2.402 2.402 0.000
Pb 2.402 2.402 2.402

=====

two.
5
Lattice="4.777 0.000 0.000 0.000 4.777 0.000 0.000 0.000 4.777" Properties=species:S:1:pos:R:3 comment="ReOs3Pb | the Alexandria database | GGA-PBE | optimized geometry" space_group="No. 221" volume_a3_per_fu=109 magnetic_moment_mub_per_fu=0.00 pbc="T T T"
Re 0.000 0.000 0.000
Os 0.000 0.000 2.388
Os 0.000 2.388 0.000
Os 2.388 0.000 0.000
Pb 2.388 2.388 2.388

=====

Energetically preferred structure: two | next structure: +1778 meV/atom

=====

one.
3
Lattice="0.000 3.088 3.088 3.088 0.000 3.088 3.088 3.088 0.000" Properties=species:S:1:pos:R:3 comment="OsRuPb | the Alexandria database | GGA-PBE | optimized geometry" space_group="No. 216" volume_a3_per_fu=59 magnetic_moment_mub_per_fu=0.00 pbc="T T T"
Os 0.000 0.000 0.000
Ru 4.633 4.633 4.633
Pb 3.088 3.088 3.088

=====

two.
3
Lattice="2.978 0.000 0.000 -1.489 2.579 0.000 0.000 0.000 6.911" Properties=species:S:1:pos:R:3 comment="OsRuPb | the Alexandria database | GGA-PBE | optimized geometry" space_group="No. 156" volume_a3_per_fu=53 magnetic_moment_mub_per_fu=0.00 pbc="T T T"
Os 0.000 0.000 0.000
Ru 0.000 1.719 4.968
Pb 1.489 0.860 2.516

=====

three.
3
Lattice="-1.484 1.484 6.103 1.484 -1.484 6.103 1.484 1.484 -6.103" Properties=species:S:1:pos:R:3 comment="OsRuPb | the Alexandria database | GGA-PBE | optimized geometry" space_group="No. 107" volume_a3_per_fu=54 magnetic_moment_mub_per_fu=0.00 pbc="T T T"
Os 0.000 0.000 0.000
Ru 0.000 0.000 4.589
Pb 0.000 0.000 8.397

=====

Energetically preferred structure: three | next structure: +146 meV/atom

=====

one.
5
Lattice="-1.741 1.741 8.581 1.741 -1.741 8.581 1.741 1.741 -8.581" Properties=species:S:1:pos:R:3 comment="Os2RuPb2 | the Alexandria database | GGA-PBE | optimized geometry" space_group="No. 139" volume_a3_per_fu=104 magnetic_moment_mub_per_fu=0.00 pbc="T T T"
Os 1.741 0.000 4.291
Os 0.000 1.741 4.291
Ru 0.000 0.000 0.000
Pb 0.000 0.000 6.904
Pb 0.000 0.000 10.259

=====

two.
10
Lattice="7.781 0.000 0.000 0.000 7.781 0.000 0.000 0.000 3.152" Properties=species:S:1:pos:R:3 comment="Os2RuPb2 | the Alexandria database | GGA-PBE | optimized geometry" space_group="No. 127" volume_a3_per_fu=95 magnetic_moment_mub_per_fu=2.36 pbc="T T T"
Os 1.065 2.825 0.000
Os 2.825 6.716 0.000
Os 4.956 1.065 0.000
Os 6.716 4.956 0.000
Ru 0.000 0.000 1.576
Ru 3.891 3.891 1.576
Pb 1.259 5.150 1.576
Pb 2.632 1.259 1.576
Pb 5.150 6.523 1.576
Pb 6.523 2.632 1.576

=====

Energetically preferred structure: one | next structure: +347 meV/atom

=====

one.
5
Lattice="5.383 0.000 0.000 0.000 5.383 0.000 0.000 0.000 5.383" Properties=species:S:1:pos:R:3 comment="OsPb3S | the Alexandria database | GGA-PBE | optimized geometry" space_group="No. 221" volume_a3_per_fu=156 magnetic_moment_mub_per_fu=2.16 pbc="T T T"
Os 0.000 0.000 0.000
Pb 0.000 2.691 2.691
Pb 2.691 0.000 2.691
Pb 2.691 2.691 0.000
S 2.691 2.691 2.691

=====

two.
5
Lattice="5.241 0.000 0.000 0.000 5.241 0.000 0.000 0.000 5.241" Properties=species:S:1:pos:R:3 comment="OsPb3S | the Alexandria database | GGA-PBE | optimized geometry" space_group="No. 221" volume_a3_per_fu=144 magnetic_moment_mub_per_fu=0.00 pbc="T T T"
Os 0.000 0.000 0.000
Pb 0.000 0.000 2.620
Pb 0.000 2.620 0.000
Pb 2.620 0.000 0.000
S 2.620 2.620 2.620

=====

Energetically preferred structure: two | next structure: +953 meV/atom

=====

one.
5
Lattice="-1.674 1.674 10.414 1.674 -1.674 10.414 1.674 1.674 -10.414" Properties=species:S:1:pos:R:3 comment="OsPb2S2 | the Alexandria database | GGA-PBE | optimized geometry" space_group="No. 139" volume_a3_per_fu=117 magnetic_moment_mub_per_fu=0.00 pbc="T T T"
Os 0.000 0.000 0.000
Pb 0.000 0.000 8.659
Pb 0.000 0.000 12.169
S 1.674 0.000 5.207
S 0.000 1.674 5.207

=====

two.
10
Lattice="7.784 0.000 0.000 0.000 7.784 0.000 0.000 0.000 4.029" Properties=species:S:1:pos:R:3 comment="OsPb2S2 | the Alexandria database | GGA-PBE | optimized geometry" space_group="No. 127" volume_a3_per_fu=122 magnetic_moment_mub_per_fu=3.79 pbc="T T T"
Os 0.000 0.000 0.000
Os 3.892 3.892 0.000
Pb 1.225 2.667 0.000
Pb 2.667 6.559 0.000
Pb 5.117 1.225 0.000
Pb 6.559 5.117 0.000
S 1.319 5.211 2.014
S 2.574 1.319 2.014
S 5.211 6.466 2.014
S 6.466 2.574 2.014

=====

Energetically preferred structure: one | next structure: +290 meV/atom

=====

one.
8
Lattice="-2.976 2.976 4.933 2.976 -2.976 4.933 2.976 2.976 -4.933" Properties=species:S:1:pos:R:3 comment="Os2PbS | the Alexandria database | GGA-PBE | optimized geometry" space_group="No. 122" volume_a3_per_fu=87 magnetic_moment_mub_per_fu=0.00 pbc="T T T"
Os 4.464 1.052 -1.233
Os 1.052 1.488 1.233
Os -1.488 1.924 3.700
Os 1.924 1.488 6.166
Pb 2.976 0.000 2.466
Pb 0.000 0.000 4.933
S 0.000 0.000 0.000
S 0.000 2.976 2.466

=====

two.
4
Lattice="0.000 3.215 3.215 3.215 0.000 3.215 3.215 3.215 0.000" Properties=species:S:1:pos:R:3 comment="Os2PbS | the Alexandria database | GGA-PBE | optimized geometry" space_group="No. 225" volume_a3_per_fu=66 magnetic_moment_mub_per_fu=0.00 pbc="T T T"
Os 1.608 1.608 1.608
Os 4.823 4.823 4.823
Pb 0.000 0.000 0.000
S 3.215 3.215 3.215

=====

Energetically preferred structure: one | next structure: +291 meV/atom

=====

one.
5
Lattice="4.461 0.000 0.000 0.000 4.461 0.000 0.000 0.000 4.461" Properties=species:S:1:pos:R:3 comment="Os3PbS | the Alexandria database | GGA-PBE | optimized geometry" space_group="No. 221" volume_a3_per_fu=89 magnetic_moment_mub_per_fu=0.00 pbc="T T T"
Os 0.000 0.000 2.230
Os 0.000 2.230 0.000
Os 2.230 0.000 0.000
Pb 2.230 2.230 2.230
S 0.000 0.000 0.000

=====

two.
5
Lattice="5.040 0.000 0.000 0.000 5.040 0.000 0.000 0.000 5.040" Properties=species:S:1:pos:R:3 comment="Os3PbS | the Alexandria database | GGA-PBE | optimized geometry" space_group="No. 221" volume_a3_per_fu=128 magnetic_moment_mub_per_fu=5.99 pbc="T T T"
Os 0.000 0.000 2.520
Os 0.000 2.520 0.000
Os 2.520 0.000 0.000
Pb 0.000 0.000 0.000
S 2.520 2.520 2.520

=====

Energetically preferred structure: one | next structure: +2192 meV/atom